(1)
The following is a PBE calculation of an optimized crystal structure of PaPdRh, from Alexandria via LeMat-Bulk.

Cell lengths 3.5788, 3.5788, 9.0093 Å; angles 90.00, 90.00, 90.00 degrees
Last column: nearest neighbours and their distance in Å.
Sites, in units of the cell vectors:
Pa (0.0000, 0.0000, 0.0000)  4 Rh 2.84, 5 Pd 2.90-3.00
Pa (0.5000, 0.5000, 0.5000)  4 Rh 2.84, 5 Pd 2.90-3.00
Pd (0.0000, 0.0000, 0.3219)  5 Rh 2.89-3.00, 5 Pa 2.90-3.00
Pd (0.5000, 0.5000, 0.8219)  5 Rh 2.89-3.00, 5 Pa 2.90-3.00
Rh (0.0000, 0.0000, 0.6424)  4 Pa 2.84, 5 Pd 2.89-3.00
Rh (0.5000, 0.5000, 0.1424)  4 Pa 2.84, 5 Pd 2.89-3.00

The calculation puts the offset from the most stable computed form at 0.000 eV/atom. The calculation puts the density of states at the Fermi level at 6.24 states/eV/cell.


(2)
The following is a PBE calculation of an optimized crystal structure of Pa2Pd3Rh3, from Alexandria via LeMat-Bulk.

Cell lengths 5.2478, 5.2478, 5.2478 Å; angles 94.72, 94.72, 94.72 degrees
Last column: nearest neighbours and their distance in Å.
Sites, in units of the cell vectors:
Pa (0.2230, 0.2230, 0.2230)  6 Rh 2.86-2.96, 6 Pd 2.92-3.08
Pa (0.7770, 0.7770, 0.7770)  6 Rh 2.86-2.96, 6 Pd 2.92-3.08
Pd (0.2358, 0.7642, 0.5000)  4 Rh 2.67-2.95, 2 Pa 2.92, 2 Pd 2.92
Pd (0.5000, 0.2358, 0.7642)  4 Rh 2.67-2.95, 2 Pa 2.92, 2 Pd 2.92
Pd (0.7642, 0.5000, 0.2358)  4 Rh 2.67-2.95, 2 Pa 2.92, 2 Pd 2.92
Rh (0.0000, 0.2996, 0.7004)  4 Pd 2.67-2.95, 2 Rh 2.81, 4 Pa 2.86-2.96
Rh (0.2996, 0.7004, 0.0000)  4 Pd 2.67-2.95, 2 Rh 2.81, 4 Pa 2.86-2.96
Rh (0.7004, 0.0000, 0.2996)  4 Pd 2.67-2.95, 2 Rh 2.81, 4 Pa 2.86-2.96

The calculation puts the density of states at the Fermi level at 5.16 states/eV/cell.


(3)
The following is a PBE calculation of an optimized crystal structure of PaPd4Rh3, from Alexandria via LeMat-Bulk.

Cell lengths 3.1105, 7.2811, 12.4149 Å; angles 90.00, 90.00, 90.00 degrees
Last column: nearest neighbours and their distance in Å.
Sites, in units of the cell vectors:
Pa (0.0000, 0.0000, 0.0000)  4 Rh 2.52
Pa (0.5000, 0.5000, 0.5000)  4 Rh 2.52
Pd (0.0000, 0.3134, 0.1491)  1 Pd 2.72, 5 Rh 2.73-2.77, 1 Pa 2.94
Pd (0.0000, 0.3134, 0.8509)  1 Pd 2.72, 5 Rh 2.73-2.77, 1 Pa 2.94
Pd (0.0000, 0.6866, 0.1491)  1 Pd 2.72, 5 Rh 2.73-2.77, 1 Pa 2.94
Pd (0.0000, 0.6866, 0.8509)  1 Pd 2.72, 5 Rh 2.73-2.77, 1 Pa 2.94
Pd (0.5000, 0.1866, 0.3509)  1 Pd 2.72, 5 Rh 2.73-2.77, 1 Pa 2.94
Pd (0.5000, 0.1866, 0.6491)  1 Pd 2.72, 5 Rh 2.73-2.77, 1 Pa 2.94
Pd (0.5000, 0.8134, 0.3509)  1 Pd 2.72, 5 Rh 2.73-2.77, 1 Pa 2.94
Pd (0.5000, 0.8134, 0.6491)  1 Pd 2.72, 5 Rh 2.73-2.77, 1 Pa 2.94
Rh (0.0000, 0.0000, 0.5000)  8 Pd 2.77
Rh (0.0000, 0.5000, 0.3398)  2 Pa 2.52, 6 Pd 2.73-2.77
Rh (0.0000, 0.5000, 0.6602)  2 Pa 2.52, 6 Pd 2.73-2.77
Rh (0.5000, 0.0000, 0.1602)  2 Pa 2.52, 6 Pd 2.73-2.77
Rh (0.5000, 0.0000, 0.8398)  2 Pa 2.52, 6 Pd 2.73-2.77
Rh (0.5000, 0.5000, 0.0000)  8 Pd 2.77

The calculation puts the density of states at the Fermi level at 18.88 states/eV/cell.


Number 1: ΔE_f -61.10 kJ/mol of atoms. Number 2: ΔE_f -61.92 kJ/mol of atoms. Number 3: ΔE_f -10.59 kJ/mol of atoms.